No. 1
CuBAu3 | PBE | relaxed

Cell and atoms, written as CIF:
```
data_CuBAu3
_cell_length_a 4.788
_cell_length_b 4.788
_cell_length_c 4.788
_cell_angle_alpha 90.00
_cell_angle_beta 90.00
_cell_angle_gamma 90.00
_space_group_name_H-M_alt 'P m -3 m'
_space_group_IT_number 221
_space_group_name_Hall '-P 4 2 3'
loop_
_atom_site_label
_atom_site_type_symbol
_atom_site_fract_x
_atom_site_fract_y
_atom_site_fract_z
_atom_site_occupancy
Cu1 Cu 0.000 0.000 0.000 1
B1 B 0.500 0.500 0.500 1
Au1 Au 0.000 0.000 0.500 1
```

D(E_F) = 1.68 states/eV per cell
V = 109.7 Å³ per cell
Crystal system = cubic
Energy relative to the lowest polymorph listed for this composition = 1.043 eV/atom
VASP energy = -13.52 eV per cell
Magnetic moment = 0.00 μB/f.u.
Energy of formation = 1.418 eV/atom


No. 2
Er3Mg8 | PBE | relaxed

Cell and atoms, written as CIF:
```
data_Er3Mg8
_cell_length_a 5.1684
_cell_length_b 5.1684
_cell_length_c 35.2320
_cell_angle_alpha 90.00
_cell_angle_beta 90.00
_cell_angle_gamma 120.00
_space_group_name_H-M_alt 'R -3 m'
_space_group_IT_number 166
_space_group_name_Hall '-R 3 2"'
loop_
_atom_site_label
_atom_site_type_symbol
_atom_site_fract_x
_atom_site_fract_y
_atom_site_fract_z
_atom_site_occupancy
Er1 Er 0.0000 0.0000 0.0000 1
Er2 Er 0.0000 0.0000 0.4524 1
Mg1 Mg 0.0000 0.0000 0.0882 1
Mg2 Mg 0.0000 0.0000 0.1761 1
Mg3 Mg 0.0000 0.0000 0.2724 1
Mg4 Mg 0.0000 0.0000 0.3628 1
```

D(E_F) = 20.02 states/eV per cell
V = 815.1 Å³ per cell
Crystal system = trigonal
VASP energy = -80.86 eV per cell
Magnetic moment = 0.00 μB/f.u.
Energy of formation = -0.046 eV/atom


No. 3
Sr2TlAu | PBE | relaxed

Cell and atoms, written as CIF:
```
data_Sr2TlAu
_cell_length_a 7.650
_cell_length_b 4.404
_cell_length_c 8.981
_cell_angle_alpha 90.00
_cell_angle_beta 106.35
_cell_angle_gamma 90.00
_space_group_name_H-M_alt 'C 1 2/m 1'
_space_group_IT_number 12
loop_
_space_group_symop_operation_xyz
'x,y,z'
'-x,-y,-z'
'-x,y,-z'
'x,-y,z'
'x+1/2,y+1/2,z'
'-x+1/2,-y+1/2,-z'
'-x+1/2,y+1/2,-z'
'x+1/2,-y+1/2,z'
loop_
_atom_site_label
_atom_site_type_symbol
_atom_site_fract_x
_atom_site_fract_y
_atom_site_fract_z
_atom_site_occupancy
Sr1 Sr 0.239 0.000 0.219 1
Tl1 Tl 0.000 0.000 0.500 1
Au1 Au 0.000 0.500 0.000 1
```

D(E_F) = 4.67 states/eV per cell
V = 290.3 Å³ per cell
Crystal system = monoclinic
Energy relative to the lowest polymorph listed for this composition = 0.079 eV/atom
VASP energy = -21.90 eV per cell
Magnetic moment = 0.00 μB/f.u.
Energy of formation = -0.486 eV/atom


No. 4
La2TmAu | PBE | relaxed

Cell and atoms, written as CIF:
```
data_La2TmAu
_cell_length_a 3.8105
_cell_length_b 3.8105
_cell_length_c 30.4997
_cell_angle_alpha 90.00
_cell_angle_beta 90.00
_cell_angle_gamma 120.00
_space_group_name_H-M_alt 'R 3 m'
_space_group_IT_number 160
_space_group_name_Hall 'R 3 -2"'
loop_
_atom_site_label
_atom_site_type_symbol
_atom_site_fract_x
_atom_site_fract_y
_atom_site_fract_z
_atom_site_occupancy
La1 La 0.0000 0.0000 0.0000 1
La2 La 0.0000 0.0000 0.1869 1
Tm1 Tm 0.0000 0.0000 0.4257 1
Au1 Au 0.0000 0.0000 0.5941 1
```

D(E_F) = 14.21 states/eV per cell
V = 383.5 Å³ per cell
Crystal system = trigonal
Energy relative to the lowest polymorph listed for this composition = 0.101 eV/atom
VASP energy = -55.70 eV per cell
Magnetic moment = 0.00 μB/f.u.
Energy of formation = -0.241 eV/atom


No. 5
CsSnHg | PBE | relaxed

Cell and atoms, written as CIF:
```
data_CsSnHg
_cell_length_a 12.905
_cell_length_b 5.021
_cell_length_c 8.737
_cell_angle_alpha 90.00
_cell_angle_beta 122.63
_cell_angle_gamma 90.00
_space_group_name_H-M_alt 'C 1 m 1'
_space_group_IT_number 8
loop_
_space_group_symop_operation_xyz
'x,y,z'
'x,-y,z'
'x+1/2,y+1/2,z'
'x+1/2,-y+1/2,z'
loop_
_atom_site_label
_atom_site_type_symbol
_atom_site_fract_x
_atom_site_fract_y
_atom_site_fract_z
_atom_site_occupancy
Cs1 Cs 0.000 0.000 0.000 1
Cs2 Cs 0.144 0.500 0.772 1
Sn1 Sn 0.360 0.000 0.209 1
Sn2 Sn 0.374 0.500 0.420 1
Hg1 Hg 0.122 0.500 0.341 1
Hg2 Hg 0.297 0.000 0.583 1
```

D(E_F) = 2.10 states/eV per cell
V = 476.8 Å³ per cell
Crystal system = monoclinic
Energy relative to the lowest polymorph listed for this composition = 0.048 eV/atom
VASP energy = -23.03 eV per cell
Magnetic moment = 0.00 μB/f.u.
Energy of formation = -0.200 eV/atom


No. 6
Mg3GaH | PBE | relaxed

Cell and atoms, written as CIF:
```
data_Mg3GaH
_cell_length_a 4.344
_cell_length_b 4.344
_cell_length_c 4.344
_cell_angle_alpha 90.00
_cell_angle_beta 90.00
_cell_angle_gamma 90.00
_space_group_name_H-M_alt 'P m -3 m'
_space_group_IT_number 221
_space_group_name_Hall '-P 4 2 3'
loop_
_atom_site_label
_atom_site_type_symbol
_atom_site_fract_x
_atom_site_fract_y
_atom_site_fract_z
_atom_site_occupancy
Mg1 Mg 0.000 0.000 0.500 1
Ga1 Ga 0.500 0.500 0.500 1
H1 H 0.000 0.000 0.000 1
```

D(E_F) = 1.39 states/eV per cell
V = 82.0 Å³ per cell
Crystal system = cubic
Energy relative to the lowest polymorph listed for this composition = 0.014 eV/atom
VASP energy = -11.36 eV per cell
Magnetic moment = 0.00 μB/f.u.


No. 7
OsI3Cl6 | PBE | relaxed

Cell and atoms, written as CIF:
```
data_OsI3Cl6
_cell_length_a 13.4168
_cell_length_b 13.4168
_cell_length_c 14.5677
_cell_angle_alpha 90.00
_cell_angle_beta 90.00
_cell_angle_gamma 120.00
_space_group_name_H-M_alt 'R -3 m'
_space_group_IT_number 166
_space_group_name_Hall '-R 3 2"'
loop_
_atom_site_label
_atom_site_type_symbol
_atom_site_fract_x
_atom_site_fract_y
_atom_site_fract_z
_atom_site_occupancy
Os1 Os 0.0000 0.0000 0.0000 1
Os2 Os 0.0000 0.0000 0.5000 1
I1 I 0.0565 0.5282 0.4198 1
Cl1 Cl 0.0812 0.1625 0.0905 1
Cl2 Cl 0.0814 0.1628 0.4077 1
```

D(E_F) = 65.76 states/eV per cell
V = 2271.0 Å³ per cell
Crystal system = trigonal
Formation energy (no corrections) = -5.05 kcal/mol of atoms
VASP energy = -174.89 eV per cell
Magnetic moment = 2.08 μB/f.u.


No. 8
Tl2SbSCl3 | PBE | relaxed

Cell and atoms, written as CIF:
```
data_Tl2SbSCl3
_cell_length_a 5.285
_cell_length_b 5.381
_cell_length_c 15.934
_cell_angle_alpha 90.00
_cell_angle_beta 90.00
_cell_angle_gamma 90.00
_space_group_name_H-M_alt 'I m m m'
_space_group_IT_number 71
_space_group_name_Hall '-I 2 2'
loop_
_atom_site_label
_atom_site_type_symbol
_atom_site_fract_x
_atom_site_fract_y
_atom_site_fract_z
_atom_site_occupancy
Tl1 Tl 0.000 0.000 0.133 1
Sb1 Sb 0.000 0.000 0.500 1
S1 S 0.000 0.500 0.000 1
Cl1 Cl 0.000 0.000 0.332 1
Cl2 Cl 0.000 0.500 0.500 1
```

D(E_F) = 0.71 states/eV per cell
V = 453.1 Å³ per cell
Crystal system = orthorhombic
Formation energy (no corrections) = -16.51 kcal/mol of atoms
VASP energy = -47.07 eV per cell
Magnetic moment = 0.00 μB/f.u.


No. 9
ScHgSe4 | PBE | relaxed

Cell and atoms, written as CIF:
```
data_ScHgSe4
_cell_length_a 8.178
_cell_length_b 8.178
_cell_length_c 8.178
_cell_angle_alpha 90.00
_cell_angle_beta 90.00
_cell_angle_gamma 90.00
_space_group_name_H-M_alt 'F -4 3 m'
_space_group_IT_number 216
_space_group_name_Hall 'F -4 2 3'
loop_
_atom_site_label
_atom_site_type_symbol
_atom_site_fract_x
_atom_site_fract_y
_atom_site_fract_z
_atom_site_occupancy
Sc1 Sc 0.000 0.000 0.000 1
Hg1 Hg 0.250 0.250 0.250 1
Se1 Se 0.125 0.125 0.625 1
```

D(E_F) = 16.76 states/eV per cell
V = 546.9 Å³ per cell
Crystal system = cubic
Formation energy (no corrections) = 2.42 kcal/mol of atoms
VASP energy = -79.77 eV per cell
Magnetic moment = 0.00 μB/f.u.


No. 10
Ce2TiGe4Pd3 | PBE | relaxed

Cell and atoms, written as CIF:
```
data_Ce2TiGe4Pd3
_cell_length_a 4.259
_cell_length_b 4.259
_cell_length_c 10.718
_cell_angle_alpha 90.00
_cell_angle_beta 90.00
_cell_angle_gamma 90.00
_space_group_name_H-M_alt 'P -4 m 2'
_space_group_IT_number 115
loop_
_space_group_symop_operation_xyz
'x,y,z'
'y,-x,-z'
'-x,-y,z'
'-y,x,-z'
'-x,y,z'
'-y,-x,-z'
'x,-y,z'
'y,x,-z'
loop_
_atom_site_label
_atom_site_type_symbol
_atom_site_fract_x
_atom_site_fract_y
_atom_site_fract_z
_atom_site_occupancy
Ce1 Ce 0.000 0.500 0.242 1
Ti1 Ti 0.000 0.000 0.500 1
Ge1 Ge 0.000 0.000 0.000 1
Ge2 Ge 0.000 0.500 0.640 1
Ge3 Ge 0.500 0.500 0.000 1
Pd1 Pd 0.000 0.500 0.872 1
Pd2 Pd 0.500 0.500 0.500 1
```

D(E_F) = 13.14 states/eV per cell
V = 194.4 Å³ per cell
Crystal system = tetragonal
VASP energy = -61.33 eV per cell
Magnetic moment = 1.41 μB/f.u.
Energy of formation = -0.752 eV/atom


No. 11
Ca3RhO | PBE | relaxed

Cell and atoms, written as CIF:
```
data_Ca3RhO
_cell_length_a 4.698
_cell_length_b 4.698
_cell_length_c 4.698
_cell_angle_alpha 90.00
_cell_angle_beta 90.00
_cell_angle_gamma 90.00
_space_group_name_H-M_alt 'P m -3 m'
_space_group_IT_number 221
_space_group_name_Hall '-P 4 2 3'
loop_
_atom_site_label
_atom_site_type_symbol
_atom_site_fract_x
_atom_site_fract_y
_atom_site_fract_z
_atom_site_occupancy
Ca1 Ca 0.000 0.000 0.500 1
Rh1 Rh 0.500 0.500 0.500 1
O1 O 0.000 0.000 0.000 1
```

D(E_F) = 2.34 states/eV per cell
V = 103.7 Å³ per cell
Crystal system = cubic
Formation energy (no corrections) = -29.19 kcal/mol of atoms
Energy relative to the lowest polymorph listed for this composition = 0.000 eV/atom
VASP energy = -24.64 eV per cell
Magnetic moment = 0.00 μB/f.u.


No. 12
Li4EuAg | PBE | relaxed

Cell and atoms, written as CIF:
```
data_Li4EuAg
_cell_length_a 7.961
_cell_length_b 7.961
_cell_length_c 7.961
_cell_angle_alpha 90.00
_cell_angle_beta 90.00
_cell_angle_gamma 90.00
_space_group_name_H-M_alt 'F -4 3 m'
_space_group_IT_number 216
_space_group_name_Hall 'F -4 2 3'
loop_
_atom_site_label
_atom_site_type_symbol
_atom_site_fract_x
_atom_site_fract_y
_atom_site_fract_z
_atom_site_occupancy
Li1 Li 0.122 0.122 0.122 1
Eu1 Eu 0.000 0.000 0.500 1
Ag1 Ag 0.250 0.250 0.750 1
```

D(E_F) = 27.40 states/eV per cell
V = 504.5 Å³ per cell
Crystal system = cubic
VASP energy = -83.55 eV per cell
Magnetic moment = 7.86 μB/f.u.
Energy of formation = -0.018 eV/atom